Compound: CaSeS
Source: Alexandria
Functional: PBE-GGA
Structure: optimized geometry

## Properties
Excess energy over the best structure of this formula in the dataset, meV per atom: 76
Fermi-level density of states, states/eV/atom: 0.2513
Space group: No. 6
Spin magnetization, μB per cell: 0.000
Formation energy (no corrections), eV/atom: -1.196

a = 4.345 Å, b = 3.895 Å, c = 4.834 Å
α = 90.00°, β = 110.77°, γ = 90.00°
Element x y z (fractional)
Ca (0.000, 0.000, 0.000)
Se (0.969, 0.500, 0.483)
S (0.523, 0.500, 0.042)

Compound: PrNdTh2
Source: Alexandria
Functional: PBE-GGA
Structure: optimized geometry

## Properties
Formation energy, eV/atom: 0.064
Excess energy over the best structure of this formula in the dataset, meV per atom: 33
Fermi-level density of states, states/eV/atom: 1.7625
Space group: No. 166
Spin magnetization, μB per cell: 0.000

a = 3.622 Å, b = 3.622 Å, c = 35.555 Å
α = 90.00°, β = 90.00°, γ = 120.00°
Element x y z (fractional)
Pr (0.000, 0.000, 0.000)
Pr (0.333, 0.667, 0.667)
Pr (0.667, 0.333, 0.333)
Nd (0.000, 0.000, 0.500)
Nd (0.333, 0.667, 0.167)
Nd (0.667, 0.333, 0.833)
Th (0.000, 0.000, 0.250)
Th (0.000, 0.000, 0.750)
Th (0.333, 0.667, 0.417)
Th (0.333, 0.667, 0.916)
Th (0.667, 0.333, 0.084)
Th (0.667, 0.333, 0.583)

Compound: Ce2NdDy3Te6
Source: Alexandria
Functional: PBE-GGA
Structure: optimized geometry

## Properties
Fermi-level density of states, states/eV/atom: 1.4262
Space group: No. 12
Spin magnetization, μB per cell: 2.581
Formation energy (no corrections), eV/atom: -1.343

a = 9.934 Å, b = 9.934 Å, c = 8.941 Å
α = 104.18°, β = 104.18°, γ = 25.48°
Element x y z (fractional)
Ce (0.167, 0.167, 0.334)
Ce (0.833, 0.833, 0.666)
Nd (0.500, 0.500, 0.000)
Dy (0.165, 0.165, 0.833)
Dy (0.500, 0.500, 0.500)
Dy (0.835, 0.835, 0.167)
Te (0.002, 0.002, 0.743)
Te (0.330, 0.330, 0.923)
Te (0.336, 0.336, 0.410)
Te (0.664, 0.664, 0.590)
Te (0.670, 0.670, 0.077)
Te (0.998, 0.998, 0.257)

Compound: Tb4NdSm2Sc
Source: Alexandria
Functional: PBE-GGA
Structure: optimized geometry

## Properties
Formation energy, eV/atom: 0.031
Fermi-level density of states, states/eV/atom: 1.4240
Space group: No. 123
Spin magnetization, μB per cell: 0.000

a = 5.026 Å, b = 5.026 Å, c = 10.066 Å
α = 90.00°, β = 90.00°, γ = 90.00°
Element x y z (fractional)
Tb (0.000, 0.500, 0.243)
Tb (0.000, 0.500, 0.757)
Tb (0.500, 0.000, 0.243)
Tb (0.500, 0.000, 0.757)
Nd (0.000, 0.000, 0.500)
Sm (0.000, 0.000, 0.000)
Sm (0.500, 0.500, 0.500)
Sc (0.500, 0.500, 0.000)

Compound: SmErSiSe
Source: Alexandria
Functional: PBE-GGA
Structure: optimized geometry

## Properties
Fermi-level density of states, states/eV/atom: 0.3285
Space group: No. 160
Spin magnetization, μB per cell: 0.000
Formation energy (no corrections), eV/atom: -1.288

a = 4.131 Å, b = 4.131 Å, c = 20.525 Å
α = 90.00°, β = 90.00°, γ = 120.00°
Element x y z (fractional)
Sm (0.000, 0.000, 0.000)
Sm (0.333, 0.667, 0.667)
Sm (0.667, 0.333, 0.333)
Er (0.000, 0.000, 0.491)
Er (0.333, 0.667, 0.158)
Er (0.667, 0.333, 0.824)
Si (0.000, 0.000, 0.748)
Si (0.333, 0.667, 0.415)
Si (0.667, 0.333, 0.081)
Se (0.000, 0.000, 0.242)
Se (0.333, 0.667, 0.909)
Se (0.667, 0.333, 0.576)

Compound: Sr3Ge4Rh2
Source: Alexandria
Functional: PBE-GGA
Structure: optimized geometry

## Properties
Formation energy, eV/atom: -0.606
Fermi-level density of states, states/eV/atom: 0.6704
Space group: No. 12
Spin magnetization, μB per cell: 0.000

a = 6.113 Å, b = 6.113 Å, c = 8.961 Å
α = 100.26°, β = 100.26°, γ = 40.64°
Element x y z (fractional)
Sr (0.000, 0.000, 0.000)
Sr (0.383, 0.383, 0.618)
Sr (0.617, 0.617, 0.382)
Ge (0.104, 0.104, 0.674)
Ge (0.294, 0.294, 0.925)
Ge (0.706, 0.706, 0.075)
Ge (0.896, 0.896, 0.326)
Rh (0.312, 0.312, 0.210)
Rh (0.688, 0.688, 0.790)

Compound: InTe
Source: Alexandria
Functional: PBE-GGA
Structure: optimized geometry

## Properties
Fermi-level density of states, states/eV/atom: 0.4588
Space group: No. 176
Spin magnetization, μB per cell: 0.000
Formation energy (no corrections), eV/atom: -0.172

a = 10.230 Å, b = 10.230 Å, c = 5.103 Å
α = 90.00°, β = 90.00°, γ = 120.00°
Element x y z (fractional)
In (0.139, 0.620, 0.250)
In (0.380, 0.519, 0.250)
In (0.481, 0.861, 0.250)
In (0.519, 0.139, 0.750)
In (0.620, 0.481, 0.750)
In (0.861, 0.380, 0.750)
Te (0.063, 0.708, 0.750)
Te (0.292, 0.355, 0.750)
Te (0.355, 0.063, 0.250)
Te (0.645, 0.937, 0.750)
Te (0.708, 0.645, 0.250)
Te (0.937, 0.292, 0.250)

Compound: Cu5Pd6Pt
Source: Alexandria
Functional: PBE-GGA
Structure: optimized geometry

## Properties
Formation energy, eV/atom: -0.094
Excess energy over the best structure of this formula in the dataset, meV per atom: 0
Fermi-level density of states, states/eV/atom: 1.1025
Space group: No. 10
Spin magnetization, μB per cell: 0.000

a = 4.629 Å, b = 5.522 Å, c = 6.639 Å
α = 90.00°, β = 92.81°, γ = 90.00°
Element x y z (fractional)
Cu (0.000, 0.000, 0.000)
Cu (0.325, 0.000, 0.669)
Cu (0.325, 0.500, 0.669)
Cu (0.675, 0.000, 0.331)
Cu (0.675, 0.500, 0.331)
Pd (0.178, 0.248, 0.339)
Pd (0.178, 0.752, 0.339)
Pd (0.500, 0.246, 0.000)
Pd (0.500, 0.754, 0.000)
Pd (0.822, 0.248, 0.661)
Pd (0.822, 0.752, 0.661)
Pt (0.000, 0.500, 0.000)

Compound: KTl2SnPd
Source: Alexandria
Functional: PBE-GGA
Structure: optimized geometry

## Properties
Formation energy, eV/atom: -0.073
Fermi-level density of states, states/eV/atom: 0.8625
Space group: No. 123
Spin magnetization, μB per cell: 0.000

a = 5.479 Å, b = 5.479 Å, c = 5.325 Å
α = 90.00°, β = 90.00°, γ = 90.00°
Element x y z (fractional)
K (0.000, 0.000, 0.000)
Tl (0.000, 0.500, 0.500)
Tl (0.500, 0.000, 0.500)
Sn (0.500, 0.500, 0.000)
Pd (0.500, 0.500, 0.500)

Compound: Nd5TmPt4
Source: Alexandria
Functional: PBE-GGA
Structure: optimized geometry

## Properties
Formation energy, eV/atom: -0.870
Fermi-level density of states, states/eV/atom: 0.8144
Space group: No. 12
Spin magnetization, μB per cell: 0.000

a = 9.272 Å, b = 9.272 Å, c = 8.105 Å
α = 105.23°, β = 105.23°, γ = 26.09°
Element x y z (fractional)
Nd (0.000, 0.000, 0.000)
Nd (0.333, 0.333, 0.646)
Nd (0.334, 0.334, 0.154)
Nd (0.666, 0.666, 0.846)
Nd (0.667, 0.667, 0.354)
Tm (0.000, 0.000, 0.500)
Pt (0.167, 0.167, 0.604)
Pt (0.499, 0.499, 0.254)
Pt (0.501, 0.501, 0.746)
Pt (0.833, 0.833, 0.396)

Compound: PuZrInSn
Source: Alexandria
Functional: PBE-GGA
Structure: optimized geometry

## Properties
Formation energy, eV/atom: -0.186
Fermi-level density of states, states/eV/atom: 2.6094
Space group: No. 216
Spin magnetization, μB per cell: 25.301

a = 7.328 Å, b = 7.328 Å, c = 7.328 Å
α = 90.00°, β = 90.00°, γ = 90.00°
Element x y z (fractional)
Pu (0.000, 0.000, 0.000)
Pu (0.000, 0.500, 0.500)
Pu (0.500, 0.000, 0.500)
Pu (0.500, 0.500, 0.000)
Zr (0.000, 0.000, 0.500)
Zr (0.000, 0.500, 0.000)
Zr (0.500, 0.000, 0.000)
Zr (0.500, 0.500, 0.500)
In (0.250, 0.250, 0.750)
In (0.250, 0.750, 0.250)
In (0.750, 0.250, 0.250)
In (0.750, 0.750, 0.750)
Sn (0.250, 0.250, 0.250)
Sn (0.250, 0.750, 0.750)
Sn (0.750, 0.250, 0.750)
Sn (0.750, 0.750, 0.250)

Compound: Tl2Sn2S
Source: Alexandria
Functional: PBE-GGA
Structure: optimized geometry

## Properties
Fermi-level density of states, states/eV/atom: 0.2851
Space group: No. 127
Spin magnetization, μB per cell: 0.000
Formation energy (no corrections), eV/atom: 0.002

a = 7.435 Å, b = 7.435 Å, c = 5.259 Å
α = 90.00°, β = 90.00°, γ = 90.00°
Element x y z (fractional)
Tl (0.167, 0.333, 0.000)
Tl (0.333, 0.833, 0.000)
Tl (0.667, 0.167, 0.000)
Tl (0.833, 0.667, 0.000)
Sn (0.156, 0.656, 0.500)
Sn (0.344, 0.156, 0.500)
Sn (0.656, 0.844, 0.500)
Sn (0.844, 0.344, 0.500)
S (0.000, 0.000, 0.500)
S (0.500, 0.500, 0.500)